Entry 1:
The following is a GGA-PBE calculation of an optimized crystal structure of NdDyPtRh, from the Alexandria database.

a = 4.403 Å, b = 3.858 Å, c = 10.713 Å
α = 90.00°, β = 90.00°, γ = 90.00°
Space group Amm2 (No. 38)
Unique sites:
Nd (0.000, 0.000, 0.000)
Dy (0.500, 0.000, 0.281)
Pt (0.500, 0.000, 0.561)
Rh (0.000, 0.000, 0.735)

Results
ΔH_f (0 K): -985 meV per atom
mass density: 11.04 Mg/m³
crystal system: orthorhombic
DFT total energy: -53.4 eV for the cell shown
N(E_F): 0.617 states/eV per atom
ΔE to the lowest computed polymorph: 0 meV per atom


Entry 2:
The following is a GGA-PBE calculation of an optimized crystal structure of Tm4SnPb3, from the Alexandria database.

a = 10.969 Å, b = 6.320 Å, c = 6.321 Å
α = 90.00°, β = 90.00°, γ = 90.00°
Space group Pmna (No. 53)
Unique sites:
Tm (0.000, 0.000, 0.000)
Tm (0.000, 0.500, 0.500)
Tm (0.250, 0.245, 0.250)
Sn (0.000, 0.000, 0.500)
Pb (0.000, 0.500, 0.000)
Pb (0.250, 0.253, 0.750)

Results
ΔH_f (0 K): -439 meV per atom
mass density: 10.73 Mg/m³
crystal system: orthorhombic
DFT total energy: -73.0 eV for the cell shown
N(E_F): 0.600 states/eV per atom


Entry 3:
The following is a GGA-PBE calculation of an optimized crystal structure of K2BiCl, from the Alexandria database.

a = 8.501 Å, b = 8.501 Å, c = 8.501 Å
α = 90.00°, β = 90.00°, γ = 90.00°
Space group Fm-3m (No. 225)
Unique sites:
K (0.250, 0.250, 0.250)
Bi (0.000, 0.000, 0.000)
Cl (0.000, 0.000, 0.500)

Results
mass density: 3.49 Mg/m³
E_form (uncorrected): -0.62 eV/atom
crystal system: cubic
DFT total energy: -41.7 eV for the cell shown
N(E_F): 0.591 states/eV per atom
ΔE to the lowest computed polymorph: 443 meV per atom


Entry 4:
The following is a GGA-PBE calculation of an optimized crystal structure of BSb2Br, from the Alexandria database.

a = 7.021 Å, b = 7.021 Å, c = 7.021 Å
α = 90.00°, β = 90.00°, γ = 90.00°
Space group Fm-3m (No. 225)
Unique sites:
B (0.000, 0.000, 0.000)
Sb (0.250, 0.250, 0.250)
Br (0.000, 0.000, 0.500)

Results
mass density: 6.41 Mg/m³
E_form (uncorrected): 1.06 eV/atom
crystal system: cubic
DFT total energy: -49.4 eV for the cell shown
N(E_F): 0.484 states/eV per atom
ΔE to the lowest computed polymorph: 553 meV per atom


Entry 5:
The following is a GGA-PBE calculation of an optimized crystal structure of CaCoHg2, from the Alexandria database.

a = 4.418 Å, b = 4.418 Å, c = 4.344 Å
α = 90.00°, β = 90.00°, γ = 90.00°
Space group P4/mmm (No. 123)
Unique sites:
Ca (0.000, 0.000, 0.000)
Co (0.500, 0.500, 0.000)
Hg (0.000, 0.500, 0.500)

Results
ΔH_f (0 K): 107 meV per atom
mass density: 9.80 Mg/m³
crystal system: tetragonal
DFT total energy: -9.3 eV for the cell shown
N(E_F): 1.019 states/eV per atom


Entry 6:
The following is a GGA-PBE calculation of an optimized crystal structure of CeCdGa2Pt2, from the Alexandria database.

a = 4.4516 Å, b = 4.4516 Å, c = 6.8158 Å
α = 90.00°, β = 90.00°, γ = 120.00°
Space group P-3m1 (No. 164)
Unique sites:
Ce (0.0000, 0.0000, 0.0000)
Cd (0.0000, 0.0000, 0.5000)
Ga (0.3333, 0.6667, 0.2863)
Pt (0.3333, 0.6667, 0.7253)

Results
ΔH_f (0 K): -726 meV per atom
mass density: 11.10 Mg/m³
crystal system: trigonal
DFT total energy: -29.3 eV for the cell shown
N(E_F): 1.125 states/eV per atom